No. 1
A relaxed PrNdYEr3 crystal, computed with GGA-PBE.

## Properties
Its space group is Cmcm. For the total energy, the calculation gives -58.082 eV/cell.

Cell: 6.378 6.378 11.786 Å, 90.00 90.00 125.02°
Fractional positions:
1 Pr 0.000 0.000 0.000
2 Pr 0.000 0.000 0.500
3 Nd 0.497 0.503 0.750
4 Nd 0.503 0.497 0.250
5 Y 0.175 0.825 0.750
6 Y 0.825 0.175 0.250
7 Er 0.171 0.829 0.250
8 Er 0.327 0.673 0.003
9 Er 0.327 0.673 0.497
10 Er 0.673 0.327 0.503
11 Er 0.673 0.327 0.997
12 Er 0.829 0.171 0.750

No. 2
A relaxed Y2ThI crystal, computed with GGA-PBE.

## Properties
Its space group is P4/mmm. For the energy relative to the elements, uncorrected, the calculation gives -292 meV per atom. The calculation puts the energy above the most stable polymorph in this dataset at 83 meV/atom.

Cell: 3.720 3.720 9.351 Å, 90.00 90.00 90.00°
Fractional positions:
1 Y 0.000 0.000 0.249
2 Y 0.000 0.000 0.751
3 Th 0.500 0.500 0.000
4 I 0.500 0.500 0.500

No. 3
A relaxed NaHfNbI2 crystal, computed with GGA-PBE.

## Properties
Its space group is P4/mmm. For the energy relative to the elements, uncorrected, the calculation gives 1173 meV per atom.

Cell: 5.386 5.386 5.936 Å, 90.00 90.00 90.00°
Fractional positions:
1 Na 0.000 0.000 0.000
2 Hf 0.500 0.500 0.000
3 Nb 0.000 0.000 0.500
4 I 0.000 0.500 0.500
5 I 0.500 0.000 0.500

| no. | size of the total moment (μB/f.u.) |
| --- | --- |
| 1 | 0.0 |
| 2 | 0.0 |
| 3 | 1.0 |